## NiBi2RuO6 (PBE with a Hubbard U)

Data for a relaxed structure of NiBi2RuO6.

Unit cell a=5.5087 b=5.7925 c=7.8938 alpha=90.00 beta=91.04 gamma=90.00
Fractional coordinates of all 20 atoms:
O: 0.6895 0.2840 0.5562
O: 0.6776 0.3194 0.9718
Ru: 0.5000 0.0000 0.5000
Bi: 0.5058 0.5649 0.7658
Bi: 0.9942 0.0649 0.7342
O: 0.1036 0.4653 0.7533
O: 0.8224 0.8194 0.5282
O: 0.3964 0.9653 0.7467
Bi: 0.0058 0.9351 0.2658
O: 0.3224 0.6806 0.0282
O: 0.1895 0.2160 0.0562
O: 0.1776 0.1806 0.4718
O: 0.3105 0.7160 0.4438
O: 0.8105 0.7840 0.9438
Ru: 0.0000 0.5000 0.0000
O: 0.6036 0.0347 0.2533
Ni: 0.5000 0.0000 0.0000
Bi: 0.4942 0.4351 0.2342
O: 0.8964 0.5347 0.2467
Ni: 0.0000 0.5000 0.5000

Results
total magnetization	8.05	Bohr magnetons per cell
ρ	8.88	g cm⁻³
total DFT energy (no corrections)	-6.005	eV per atom